(1)
Entry from Alexandria via LeMat-Bulk: crystalline K2CuCl4O2 at its relaxed geometry (PBE).

Geometry as POSCAR:
```
K2CuCl4O2
1.0
-3.8039 3.8039 4.0569
3.8039 -3.8039 4.0569
3.8039 3.8039 -4.0569
K Cu Cl O
2 1 4 2
Cartesian
3.8039 0.0000 2.0284
0.0000 3.8039 2.0284
0.0000 0.0000 0.0000
1.6110 1.6110 0.0000
2.1929 -2.1929 4.0569
-2.1929 2.1929 4.0569
2.1929 2.1929 4.0569
0.0000 0.0000 3.4407
0.0000 0.0000 4.6730
```

## Properties
The size of the total moment is 3.00 μB per cell. The energy relative to the lowest polymorph listed for this composition comes out at 0.00 eV per formula unit. The value obtained for the uncorrected formation energy is -1.0202 eV/atom.

=====

(2)
Entry from Alexandria via LeMat-Bulk: crystalline CsZrAg3 at its relaxed geometry (PBE).

Geometry as POSCAR:
```
CsZrAg3
1.0
5.5870 0.0000 0.0000
0.0000 5.5870 0.0000
0.0000 0.0000 5.5870
Cs Zr Ag
1 1 3
Cartesian
0.0000 0.0000 0.0000
2.7935 2.7935 2.7935
0.0000 2.7935 2.7935
2.7935 0.0000 2.7935
2.7935 2.7935 0.0000
```

## Properties
For the density of states at the Fermi level, the calculation gives 4.6 states/eV/cell. The size of the total moment is 0.88 μB per cell. Its formation energy is 0.65 eV/atom.

=====

(3)
Entry from Alexandria via LeMat-Bulk: crystalline BiAsS2Cl at its relaxed geometry (PBE).

Geometry as POSCAR:
```
BiAsS2Cl
1.0
4.9095 0.0000 0.0000
0.0000 4.9095 0.0000
0.0000 0.0000 4.8029
Bi As S Cl
1 1 2 1
Cartesian
0.0000 0.0000 0.0000
2.4548 2.4548 2.4014
0.0000 2.4548 2.4014
2.4548 0.0000 2.4014
2.4548 2.4548 0.0000
```

## Properties
For the density of states at the Fermi level, the calculation gives 4.3 states/eV/cell. The size of the total moment is 0.00 μB per cell. The energy relative to the lowest polymorph listed for this composition comes out at 0.00 eV per formula unit. The value obtained for the uncorrected formation energy is 0.1442 eV/atom.

=====

(4)
Entry from Alexandria via LeMat-Bulk: crystalline Cs2TlPtPb2 at its relaxed geometry (PBE).

Geometry as POSCAR:
```
Cs2TlPtPb2
1.0
-3.7156 8.8464 3.6540
3.7156 -8.8464 3.6540
3.7156 8.8464 -3.6540
Cs Tl Pt Pb
4 2 2 4
Cartesian
1.5699 2.9863 0.0000
1.5699 -2.9863 3.6540
2.1457 11.8328 0.0000
2.1457 5.8601 3.6540
0.0000 0.0000 1.8270
0.0000 0.0000 5.4810
3.7156 0.0000 1.8270
0.0000 8.8464 1.8270
5.0857 1.5462 0.0000
1.3701 7.3002 0.0000
2.3455 1.5462 3.6540
-1.3701 7.3002 3.6540
```

## Properties
For the density of states at the Fermi level, the calculation gives 10.3 states/eV/cell. The size of the total moment is 0.00 μB per cell. Its formation energy is -0.16 eV/atom.